The following is a PBE-GGA calculation of a relaxed Y5Tm6Sc crystal, from the Alexandria database.

Summary:
Its volume is 365 Å³ per cell. The formation enthalpy at 0 K comes out at 0.037 eV per atom. The calculation puts the total energy at -5.42 eV per atom.

a = 6.0666 Å, b = 6.0666 Å, c = 11.6303 Å
α = 94.99°, β = 94.99°, γ = 119.95°
Element x y z (fractional)
1 Y 0.0000 0.0000 0.0000
2 Y 0.1666 0.8334 0.5000
3 Y 0.3335 0.6665 0.0000
4 Y 0.6665 0.3335 0.0000
5 Y 0.8334 0.1666 0.5000
6 Tm 0.0874 0.4177 0.2529
7 Tm 0.2517 0.2517 0.7472
8 Tm 0.4177 0.0874 0.2529
9 Tm 0.5823 0.9126 0.7471
10 Tm 0.7483 0.7483 0.2528
11 Tm 0.9126 0.5823 0.7471
12 Sc 0.5000 0.5000 0.5000